--- i ---
Here is crystalline FeSnF3 at its relaxed geometry from the Alexandria database. Energies are from PBE+U.

```
5
Lattice="4.211 0.000 0.000 0.000 4.211 0.000 0.000 0.000 4.211" Properties=species:S:1:pos:R:3 pbc="T T T"
Fe 0.000 0.000 0.000
Sn 2.105 2.105 2.105
F 0.000 0.000 2.105
F 0.000 2.105 0.000
F 2.105 0.000 0.000
```

Summary:
Theoretical density   5.15 Mg/m³
V   14.9 Å³/atom
SG   Pm-3m, No. 221
Density of states at the Fermi level   6.32 states/eV/cell



--- ii ---
Here is crystalline FeSnF3 at its relaxed geometry from the Alexandria database. Energies are from PBE+U.

```
5
Lattice="4.605 0.000 0.000 0.000 4.605 0.000 0.000 0.000 4.605" Properties=species:S:1:pos:R:3 pbc="T T T"
Fe 0.000 0.000 0.000
Sn 2.302 2.302 2.302
F 0.000 2.302 2.302
F 2.302 0.000 2.302
F 2.302 2.302 0.000
```

Summary:
Theoretical density   3.94 Mg/m³
V   19.5 Å³/atom
SG   Pm-3m, No. 221
Density of states at the Fermi level   0.67 states/eV/cell



The structure with the most favorable energy is i; the runner-up is 225 meV/atom above it.